(1)
# CaSc2AgN GGA-PBE optimized geometry
data_CaSc2AgN
_cell_length_a 4.383
_cell_length_b 4.383
_cell_length_c 5.055
_cell_angle_alpha 90.00
_cell_angle_beta 90.00
_cell_angle_gamma 90.00
_symmetry_space_group_name_H-M 'P 4/m m m'
_symmetry_Int_Tables_number 123
_symmetry_space_group_name_Hall '-P 4 2'
loop_
_atom_site_label
_atom_site_fract_x
_atom_site_fract_y
_atom_site_fract_z
Ca1 0.000 0.000 0.000
Sc1 0.000 0.500 0.500
Ag1 0.500 0.500 0.000
N1 0.000 0.000 0.500
# total magnetization: 0.00 Bohr magnetons per cell
# uncorrected energy: -5.924 eV per atom
# formation energy from raw total energies: -755 meV/atom


(2)
# Pm2Sm2Ga4Si GGA-PBE optimized geometry
data_Pm2Sm2Ga4Si
_cell_length_a 7.068
_cell_length_b 7.068
_cell_length_c 8.863
_cell_angle_alpha 90.00
_cell_angle_beta 90.00
_cell_angle_gamma 90.00
_symmetry_space_group_name_H-M 'I 4/m m m'
_symmetry_Int_Tables_number 139
_symmetry_space_group_name_Hall '-I 4 2'
loop_
_atom_site_label
_atom_site_fract_x
_atom_site_fract_y
_atom_site_fract_z
Pm1 0.000 0.500 0.250
Sm1 0.000 0.000 0.193
Ga1 0.244 0.244 0.500
Si1 0.000 0.000 0.500
# total magnetization: 0.00 Bohr magnetons per cell
# uncorrected energy: -4.392 eV per atom
# formation energy from raw total energies: -340 meV/atom


(3)
# CaThS GGA-PBE optimized geometry
data_CaThS
_cell_length_a 3.7512
_cell_length_b 3.7512
_cell_length_c 13.9053
_cell_angle_alpha 90.00
_cell_angle_beta 90.00
_cell_angle_gamma 120.00
_symmetry_space_group_name_H-M 'P -6 m 2'
_symmetry_Int_Tables_number 187
_symmetry_space_group_name_Hall 'P -6 2'
loop_
_atom_site_label
_atom_site_fract_x
_atom_site_fract_y
_atom_site_fract_z
Ca1 0.0000 0.0000 0.2253
Th1 0.0000 0.0000 0.5000
Th2 0.6667 0.3333 0.0000
S1 0.6667 0.3333 0.3596
# total magnetization: 0.00 Bohr magnetons per cell
# uncorrected energy: -5.609 eV per atom
# formation energy from raw total energies: -1093 meV/atom


(4)
# Eu2SnPd GGA-PBE optimized geometry
data_Eu2SnPd
_cell_length_a 3.583
_cell_length_b 3.583
_cell_length_c 8.356
_cell_angle_alpha 90.00
_cell_angle_beta 90.00
_cell_angle_gamma 90.00
_symmetry_space_group_name_H-M 'P 4/m m m'
_symmetry_Int_Tables_number 123
_symmetry_space_group_name_Hall '-P 4 2'
loop_
_atom_site_label
_atom_site_fract_x
_atom_site_fract_y
_atom_site_fract_z
Eu1 0.000 0.000 0.222
Sn1 0.500 0.500 0.500
Pd1 0.500 0.500 0.000
# total magnetization: 13.89 Bohr magnetons per cell
# uncorrected energy: -8.081 eV per atom
# DFT formation energy: -645 meV per atom